A plane-wave DFT calculation with PBE was carried out for a relaxed MgCo2Ag crystal.

```
4
Lattice="9.098 0.005 0.003 8.687 2.706 0.003 8.687 1.324 2.360" Properties=species:S:1:pos:R:3 pbc="T T T"
Ag 19.854 3.025 1.774
Mg 6.618 1.008 0.591
Co 13.283 2.024 1.187
Co 26.424 4.027 2.361
```

Summary:
Magnetic moment, μB per cell: 2.99
Electronic total energy, eV/atom: -4.2933
E_form, eV/atom: 0.37

A plane-wave DFT calculation with PBE was carried out for a relaxed Ni3SnAu crystal.

```
5
Lattice="-4.016 -1.586 -1.793 2.254 -1.325 -3.876 0.807 -4.193 1.903" Properties=species:S:1:pos:R:3 pbc="T T T"
Sn -0.478 -3.553 -1.883
Ni 0.403 -2.097 0.952
Ni 1.127 -0.663 -1.938
Ni -2.008 -0.793 -0.897
Au 0.000 0.000 0.000
```

Summary:
Relative energy among the computed polymorphs, eV/atom: 0.000
Magnetic moment, μB per cell: 1.65
Electronic total energy, eV/atom: -3.9334
E_form, eV/atom: 0.99

A plane-wave DFT calculation with PBE was carried out for a relaxed Pa3SbP2 crystal.

```
12
Lattice="-1.764 3.434 2.804 -4.175 -1.537 -4.803 -4.015 -6.649 5.618" Properties=species:S:1:pos:R:3 pbc="T T T"
Sb -3.129 -1.587 -0.025
Sb -6.825 -3.165 3.643
Pa -5.922 -3.454 0.505
Pa -2.342 1.500 0.749
Pa -7.611 -6.252 2.870
Pa -5.778 0.194 0.188
Pa -4.175 -4.945 3.430
Pa -4.032 -1.298 3.113
P -2.007 -3.324 2.809
P -5.852 -1.490 -1.857
P -4.101 -3.262 5.475
P 0.000 0.000 0.000
```

Summary:
Magnetic moment, μB per cell: 0.00
Electronic total energy, eV/atom: -7.9761
Formation energy (no corrections), kJ/mol of formula units: -427

A plane-wave DFT calculation with PBE was carried out for a relaxed KNdSeO crystal.

```
4
Lattice="3.945 0.000 0.000 1.973 3.417 0.000 1.973 1.139 7.180" Properties=species:S:1:pos:R:3 pbc="T T T"
Nd 1.973 1.139 1.454
Se 3.945 2.278 3.330
O 5.918 3.417 0.498
K 5.918 3.417 5.489
```

Summary:
Magnetic moment, μB per cell: 0.00
Electronic total energy, eV/atom: -5.6454
Formation energy (no corrections), kJ/mol of formula units: -798

A plane-wave DFT calculation with PBE was carried out for a relaxed Be5B crystal.

```
6
Lattice="3.124 0.000 0.000 0.000 3.097 0.000 0.000 -1.549 4.658" Properties=species:S:1:pos:R:3 pbc="T T T"
Be 0.000 0.000 3.213
Be 1.562 1.549 3.157
Be 1.562 0.000 1.501
Be 0.000 1.549 1.445
Be 1.562 1.549 0.000
B 0.000 0.000 0.000
```

Summary:
Magnetic moment, μB per cell: 0.00
Electronic total energy, eV/atom: -4.0247
E_form, eV/atom: 0.19

A plane-wave DFT calculation with PBE was carried out for a relaxed RbCePaO6 crystal.

```
9
Lattice="-1.234 2.382 -4.156 -3.608 -4.757 -1.656 -2.348 4.646 3.360" Properties=species:S:1:pos:R:3 pbc="T T T"
O -2.408 3.640 1.331
O -3.953 4.815 -0.485
O -2.010 1.001 -0.299
O -5.062 2.148 -1.684
O -2.067 2.934 -2.123
O -4.809 1.678 0.920
Ce -0.617 1.191 -2.078
Pa -2.768 1.512 1.688
Rb -3.805 -0.432 -2.062
```

Summary:
Magnetic moment, μB per cell: 2.02
Electronic total energy, eV/atom: -7.6087
Formation energy (no corrections), kJ/mol of formula units: -2155

A plane-wave DFT calculation with PBE was carried out for a relaxed Ba2ErF8 crystal.

```
11
Lattice="4.270 0.000 0.000 0.000 5.806 -0.139 -2.135 -2.643 7.123" Properties=species:S:1:pos:R:3 pbc="T T T"
F 0.000 4.634 0.031
F 0.000 0.456 3.094
F 2.135 2.707 3.890
F 0.000 1.383 5.710
F 0.000 -1.605 5.174
F 2.135 1.780 1.274
F 2.135 -1.471 6.953
F 2.135 4.769 1.810
Ba 0.000 3.055 2.288
Ba 2.135 0.108 4.696
Er 2.135 0.000 0.000
```

Summary:
Magnetic moment, μB per cell: 1.12
Electronic total energy, eV/atom: -5.6984
Formation energy (no corrections), kJ/mol of formula units: -3792

A plane-wave DFT calculation with PBE was carried out for a relaxed Ac3Ag4Hg2 crystal.

```
9
Lattice="4.917 0.000 0.000 -2.459 5.854 -0.432 0.000 -3.097 8.996" Properties=species:S:1:pos:R:3 pbc="T T T"
Ac 0.000 0.000 0.000
Ac 0.000 2.922 2.675
Ac 2.459 -0.165 5.889
Ag 0.000 -0.539 3.509
Ag 2.459 3.296 5.055
Ag 2.459 2.444 0.285
Ag 0.000 0.313 8.279
Hg 2.459 0.495 2.428
Hg 0.000 2.262 6.136
```

Summary:
Magnetic moment, μB per cell: 0.00
Electronic total energy, eV/atom: -3.0732
E_form, eV/atom: -0.37